Entry 1:
The following is a DFT calculation (PBE) of a geometry-optimized TbNd2Tl9 structure.

Values from the calculation:
- DFT formation energy: -296 meV per atom
- Symmetry: No. 123

Geometry as POSCAR:
```
TbNd2Tl9
1.0
4.816 0.000 0.000
0.000 4.816 0.000
0.000 0.000 14.444
Tb Nd Tl
1 2 9
direct
0.000 0.000 0.000 Tb
0.000 0.000 0.332 Nd
0.000 0.000 0.668 Nd
0.500 0.500 0.000 Tl
0.500 0.500 0.333 Tl
0.500 0.500 0.667 Tl
0.500 0.000 0.164 Tl
0.500 0.000 0.500 Tl
0.500 0.000 0.836 Tl
0.000 0.500 0.164 Tl
0.000 0.500 0.500 Tl
0.000 0.500 0.836 Tl
```

=====

Entry 2:
The following is a DFT calculation (PBE) of a geometry-optimized Tb4Nd3Tl2 structure.

Values from the calculation:
- DFT formation energy: -77 meV per atom
- Symmetry: No. 15

Geometry as POSCAR:
```
Tb4Nd3Tl2
1.0
6.592 0.138 0.099
0.454 9.249 -1.780
0.454 1.295 9.330
Tb Nd Tl
8 6 4
direct
0.413 0.892 0.318 Tb
0.087 0.682 0.108 Tb
0.587 0.108 0.682 Tb
0.913 0.318 0.892 Tb
0.088 0.174 0.525 Tb
0.412 0.475 0.826 Tb
0.912 0.826 0.475 Tb
0.588 0.525 0.174 Tb
0.903 0.047 0.180 Nd
0.597 0.820 0.953 Nd
0.097 0.953 0.820 Nd
0.403 0.180 0.047 Nd
0.250 0.531 0.469 Nd
0.750 0.469 0.531 Nd
0.536 0.219 0.372 Tl
0.964 0.628 0.781 Tl
0.464 0.781 0.628 Tl
0.036 0.372 0.219 Tl
```

=====

Entry 3:
The following is a DFT calculation (PBE) of a geometry-optimized Tb4NdTl2 structure.

Values from the calculation:
- Excess energy over the best structure of this formula in the dataset: 0 meV/atom
- DFT formation energy: -124 meV per atom
- Symmetry: No. 12

Geometry as POSCAR:
```
Tb4NdTl2
1.0
5.354 0.000 1.124
2.949 8.280 -0.734
0.576 -3.993 10.571
Tb Nd Tl
8 2 4
direct
0.313 0.047 0.327 Tb
0.661 0.598 0.081 Tb
0.009 0.289 0.693 Tb
0.653 0.381 0.312 Tb
0.347 0.619 0.688 Tb
0.991 0.711 0.307 Tb
0.339 0.402 0.919 Tb
0.687 0.953 0.673 Tb
0.026 0.875 0.074 Nd
0.974 0.125 0.926 Nd
0.659 0.183 0.500 Tl
0.318 0.232 0.131 Tl
0.682 0.768 0.869 Tl
0.341 0.817 0.500 Tl
```

=====

| no. | raw total energy (eV/atom) | DOS(E_F) (states/eV per cell) |
| --- | --- | --- |
| 1 | -3.251 | 4.41 |
| 2 | -4.250 | 23.60 |
| 3 | -4.127 | 14.93 |